Entry 1:
VASP calculation (GGA-PBE) on a relaxed structure of Pm2Al4CuAu3.

```
data_Pm2Al4CuAu3
_space_group_name_H-M_alt 'P 1'
_space_group_IT_number 1
_space_group_name_Hall 'P 1'
_cell_length_a 4.348
_cell_length_b 4.348
_cell_length_c 10.525
_cell_angle_alpha 90.00
_cell_angle_beta 90.00
_cell_angle_gamma 90.00
loop_
_atom_site_label
_atom_site_type_symbol
_atom_site_fract_x
_atom_site_fract_y
_atom_site_fract_z
_atom_site_occupancy
Pm1 Pm 0.500 0.000 0.256 1
Pm2 Pm 0.000 0.500 0.744 1
Al1 Al 0.500 0.500 0.000 1
Al2 Al 0.000 0.000 0.000 1
Al3 Al 0.500 0.000 0.627 1
Al4 Al 0.000 0.500 0.373 1
Cu1 Cu 0.500 0.500 0.500 1
Au1 Au 0.000 0.000 0.500 1
Au2 Au 0.500 0.000 0.865 1
Au3 Au 0.000 0.500 0.135 1
```

Output
- Uncorrected energy: -0.166 hartree per atom
- Space-group type: No. 115
- Calculated formation energy: -0.6703 eV/atom

Entry 2:
VASP calculation (GGA-PBE) on a relaxed structure of PmAlCuAu.

```
data_PmAlCuAu
_space_group_name_H-M_alt 'P 1'
_space_group_IT_number 1
_space_group_name_Hall 'P 1'
_cell_length_a 4.804
_cell_length_b 4.804
_cell_length_c 4.804
_cell_angle_alpha 60.00
_cell_angle_beta 60.00
_cell_angle_gamma 60.00
loop_
_atom_site_label
_atom_site_type_symbol
_atom_site_fract_x
_atom_site_fract_y
_atom_site_fract_z
_atom_site_occupancy
Au1 Au 0.750 0.750 0.750 1
Al1 Al 0.500 0.500 0.500 1
Cu1 Cu 0.250 0.250 0.250 1
Pm1 Pm 0.000 0.000 0.000 1
```

Output
- Uncorrected energy: -0.163 hartree per atom
- Space-group type: No. 216
- Calculated formation energy: -0.4682 eV/atom

Entry 3:
VASP calculation (GGA-PBE) on a relaxed structure of Pm2Al3Cu4Au.

```
data_Pm2Al3Cu4Au
_space_group_name_H-M_alt 'P 1'
_space_group_IT_number 1
_space_group_name_Hall 'P 1'
_cell_length_a 4.103
_cell_length_b 4.103
_cell_length_c 10.884
_cell_angle_alpha 90.00
_cell_angle_beta 90.00
_cell_angle_gamma 90.00
loop_
_atom_site_label
_atom_site_type_symbol
_atom_site_fract_x
_atom_site_fract_y
_atom_site_fract_z
_atom_site_occupancy
Pm1 Pm 0.500 0.000 0.246 1
Pm2 Pm 0.000 0.500 0.754 1
Al1 Al 0.000 0.000 0.500 1
Al2 Al 0.500 0.000 0.876 1
Al3 Al 0.000 0.500 0.124 1
Cu1 Cu 0.500 0.500 0.000 1
Cu2 Cu 0.000 0.000 0.000 1
Cu3 Cu 0.500 0.000 0.651 1
Cu4 Cu 0.000 0.500 0.349 1
Au1 Au 0.500 0.500 0.500 1
```

Output
- Uncorrected energy: -0.163 hartree per atom
- Space-group type: No. 115
- Calculated formation energy: -0.3848 eV/atom

Entry 4:
VASP calculation (GGA-PBE) on a relaxed structure of Pm2Al3Cu12Au.

```
data_Pm2Al3Cu12Au
_space_group_name_H-M_alt 'P 1'
_space_group_IT_number 1
_space_group_name_Hall 'P 1'
_cell_length_a 10.220
_cell_length_b 10.220
_cell_length_c 10.220
_cell_angle_alpha 34.27
_cell_angle_beta 34.27
_cell_angle_gamma 34.27
loop_
_atom_site_label
_atom_site_type_symbol
_atom_site_fract_x
_atom_site_fract_y
_atom_site_fract_z
_atom_site_occupancy
Pm1 Pm 0.646 0.646 0.646 1
Pm2 Pm 0.354 0.354 0.354 1
Al1 Al 0.500 0.000 0.000 1
Al2 Al 0.000 0.500 0.000 1
Al3 Al 0.000 0.000 0.500 1
Cu1 Cu 0.417 0.417 0.813 1
Cu2 Cu 0.918 0.918 0.374 1
Cu3 Cu 0.374 0.918 0.918 1
Cu4 Cu 0.813 0.417 0.417 1
Cu5 Cu 0.918 0.374 0.918 1
Cu6 Cu 0.417 0.813 0.417 1
Cu7 Cu 0.583 0.583 0.187 1
Cu8 Cu 0.082 0.082 0.626 1
Cu9 Cu 0.626 0.082 0.082 1
Cu10 Cu 0.187 0.583 0.583 1
Cu11 Cu 0.082 0.626 0.082 1
Cu12 Cu 0.583 0.187 0.583 1
Au1 Au 0.000 0.000 0.000 1
```

Output
- Uncorrected energy: -0.147 hartree per atom
- Space-group type: No. 166
- Calculated formation energy: 0.0612 eV/atom

Entry 5:
VASP calculation (GGA-PBE) on a relaxed structure of Pm2Al4Cu3Au.

```
data_Pm2Al4Cu3Au
_space_group_name_H-M_alt 'P 1'
_space_group_IT_number 1
_space_group_name_Hall 'P 1'
_cell_length_a 4.258
_cell_length_b 4.258
_cell_length_c 10.269
_cell_angle_alpha 90.00
_cell_angle_beta 90.00
_cell_angle_gamma 90.00
loop_
_atom_site_label
_atom_site_type_symbol
_atom_site_fract_x
_atom_site_fract_y
_atom_site_fract_z
_atom_site_occupancy
Pm1 Pm 0.500 0.000 0.248 1
Pm2 Pm 0.000 0.500 0.752 1
Al1 Al 0.500 0.500 0.000 1
Al2 Al 0.000 0.000 0.000 1
Al3 Al 0.500 0.000 0.637 1
Al4 Al 0.000 0.500 0.363 1
Cu1 Cu 0.000 0.000 0.500 1
Cu2 Cu 0.500 0.000 0.873 1
Cu3 Cu 0.000 0.500 0.127 1
Au1 Au 0.500 0.500 0.500 1
```

Output
- Uncorrected energy: -0.165 hartree per atom
- Space-group type: No. 115
- Calculated formation energy: -0.4935 eV/atom

Entry 6:
VASP calculation (GGA-PBE) on a relaxed structure of PrAlCuAu6.

```
data_PrAlCuAu6
_space_group_name_H-M_alt 'P 1'
_space_group_IT_number 1
_space_group_name_Hall 'P 1'
_cell_length_a 7.398
_cell_length_b 9.093
_cell_length_c 8.009
_cell_angle_alpha 124.59
_cell_angle_beta 117.51
_cell_angle_gamma 90.00
loop_
_atom_site_label
_atom_site_type_symbol
_atom_site_fract_x
_atom_site_fract_y
_atom_site_fract_z
_atom_site_occupancy
Pr1 Pr 0.718 0.468 0.435 1
Pr2 Pr 0.282 0.532 0.565 1
Al1 Al 0.500 0.500 0.000 1
Al2 Al 0.500 0.000 0.000 1
Cu1 Cu 0.500 0.000 0.500 1
Cu2 Cu 0.000 0.000 0.500 1
Au1 Au 0.589 0.839 0.178 1
Au2 Au 0.980 0.230 0.960 1
Au3 Au 0.927 0.132 0.255 1
Au4 Au 0.328 0.623 0.255 1
Au5 Au 0.328 0.132 0.255 1
Au6 Au 0.927 0.623 0.255 1
Au7 Au 0.411 0.161 0.822 1
Au8 Au 0.020 0.770 0.040 1
Au9 Au 0.073 0.868 0.745 1
Au10 Au 0.672 0.377 0.745 1
Au11 Au 0.672 0.868 0.745 1
Au12 Au 0.073 0.377 0.745 1
```

Output
- Uncorrected energy: -0.141 hartree per atom
- Space-group type: No. 74
- Calculated formation energy: -0.2380 eV/atom

Entry 7:
VASP calculation (GGA-PBE) on a relaxed structure of PrAl2CuAu5.

```
data_PrAl2CuAu5
_space_group_name_H-M_alt 'P 1'
_space_group_IT_number 1
_space_group_name_Hall 'P 1'
_cell_length_a 4.932
_cell_length_b 4.932
_cell_length_c 7.570
_cell_angle_alpha 90.00
_cell_angle_beta 90.00
_cell_angle_gamma 90.00
loop_
_atom_site_label
_atom_site_type_symbol
_atom_site_fract_x
_atom_site_fract_y
_atom_site_fract_z
_atom_site_occupancy
Pr1 Pr 0.000 0.000 0.500 1
Al1 Al 0.500 0.500 0.164 1
Al2 Al 0.500 0.500 0.836 1
Cu1 Cu 0.000 0.000 0.000 1
Au1 Au 0.000 0.500 0.230 1
Au2 Au 0.500 0.000 0.230 1
Au3 Au 0.000 0.500 0.770 1
Au4 Au 0.500 0.000 0.770 1
Au5 Au 0.500 0.500 0.500 1
```

Output
- Uncorrected energy: -0.143 hartree per atom
- Space-group type: No. 123
- Calculated formation energy: -0.2433 eV/atom

Entry 8:
VASP calculation (GGA-PBE) on a relaxed structure of Pr2Al4Cu3Au.

```
data_Pr2Al4Cu3Au
_space_group_name_H-M_alt 'P 1'
_space_group_IT_number 1
_space_group_name_Hall 'P 1'
_cell_length_a 4.301
_cell_length_b 4.301
_cell_length_c 10.288
_cell_angle_alpha 90.00
_cell_angle_beta 90.00
_cell_angle_gamma 90.00
loop_
_atom_site_label
_atom_site_type_symbol
_atom_site_fract_x
_atom_site_fract_y
_atom_site_fract_z
_atom_site_occupancy
Pr1 Pr 0.500 0.000 0.249 1
Pr2 Pr 0.000 0.500 0.751 1
Al1 Al 0.500 0.500 0.000 1
Al2 Al 0.000 0.000 0.000 1
Al3 Al 0.500 0.000 0.636 1
Al4 Al 0.000 0.500 0.364 1
Cu1 Cu 0.000 0.000 0.500 1
Cu2 Cu 0.500 0.000 0.874 1
Cu3 Cu 0.000 0.500 0.126 1
Au1 Au 0.500 0.500 0.500 1
```

Output
- Uncorrected energy: -0.165 hartree per atom
- Space-group type: No. 115
- Calculated formation energy: -0.4836 eV/atom

| no. | V (Å³/atom) |
| --- | --- |
| 1 | 19.90 |
| 2 | 19.59 |
| 3 | 18.32 |
| 4 | 16.77 |
| 5 | 18.62 |
| 6 | 20.40 |
| 7 | 20.46 |
| 8 | 19.03 |